! KNiAsO4 (PBE with a Hubbard U, optimized geometry); values from VASP
! - uncorrected energy (eV per atom) = -5.48
! - space-group type = R-3, No. 148
! - M_tot (μB/cell) = 4.000
! - energy above the most stable polymorph in this dataset (kJ/mol of atoms) = 0.00
! - crystal system = trigonal
&SYSTEM
  ibrav = 0, nat = 14, ntyp = 4
/
ATOMIC_SPECIES
K 39.10 K.upf
O 16.00 O.upf
As 74.92 As.upf
Ni 58.69 Ni.upf
ATOMIC_POSITIONS angstrom
K 2.531 1.461 1.283
K 7.594 4.384 8.363
O 5.913 4.346 6.030
O 5.870 1.474 6.030
O 5.062 2.923 8.272
O 4.255 4.372 3.616
O 4.211 1.499 3.616
O 5.062 2.923 1.374
O 3.404 2.948 6.030
O 6.721 2.897 3.616
As 5.062 2.923 6.571
As 5.062 2.923 3.075
Ni 2.531 1.461 4.867
Ni 7.594 4.384 4.779
CELL_PARAMETERS angstrom
5.062 0.000 0.000
2.531 4.384 0.000
2.531 1.461 9.646